<one>
A plane-wave DFT calculation with PBE was carried out for crystalline Li2In3Pd4 at its relaxed geometry.

```
Li2In3Pd4
1.0
4.096 0.000 0.000
-2.040 4.372 0.000
-0.018 -1.923 8.455
Li In Pd
2 3 4
Direct
0.172 0.345 0.210 Li
0.828 0.655 0.790 Li
0.163 0.325 0.577 In
0.500 0.000 0.000 In
0.837 0.675 0.423 In
0.167 0.334 0.894 Pd
0.484 0.967 0.673 Pd
0.516 0.033 0.327 Pd
0.833 0.666 0.106 Pd
```

---

<two>
A plane-wave DFT calculation with PBE was carried out for crystalline Li2In3Pd4 at its relaxed geometry.

```
Li2In3Pd4
1.0
6.477 -4.841 0.000
6.477 4.841 0.000
-0.720 0.000 4.832
Li In Pd
4 6 8
Direct
0.096 0.347 0.376 Li
0.347 0.096 0.876 Li
0.653 0.904 0.124 Li
0.904 0.653 0.624 Li
0.128 0.872 0.750 In
0.209 0.467 0.936 In
0.467 0.209 0.436 In
0.533 0.791 0.564 In
0.791 0.533 0.064 In
0.872 0.128 0.250 In
0.004 0.232 0.805 Pd
0.232 0.004 0.305 Pd
0.312 0.563 0.474 Pd
0.437 0.688 0.026 Pd
0.563 0.312 0.974 Pd
0.688 0.437 0.526 Pd
0.768 0.996 0.695 Pd
0.996 0.768 0.195 Pd
```

---

Referenced to the most stable arrangement, the calculated values in meV per atom are <one> 0; <two> 19.

---

<one>
A plane-wave DFT calculation with PBE was carried out for crystalline Li6InPd5 at its relaxed geometry.

```
Li6InPd5
1.0
4.382 0.000 0.000
0.000 5.890 0.000
-1.529 0.000 6.546
Li In Pd
6 1 5
Direct
0.000 0.226 0.000 Li
0.000 0.774 0.000 Li
0.327 0.241 0.647 Li
0.327 0.759 0.647 Li
0.673 0.241 0.353 Li
0.673 0.759 0.353 Li
0.500 0.500 0.000 In
0.156 0.500 0.317 Pd
0.161 0.000 0.327 Pd
0.500 0.000 0.000 Pd
0.839 0.000 0.673 Pd
0.844 0.500 0.683 Pd
```

---

<two>
A plane-wave DFT calculation with PBE was carried out for crystalline Li6InPd5 at its relaxed geometry.

```
Li6InPd5
1.0
2.019 -5.836 0.000
2.019 5.836 0.000
-0.016 0.000 7.432
Li In Pd
6 1 5
Direct
0.000 0.000 0.227 Li
0.000 0.000 0.773 Li
0.326 0.674 0.238 Li
0.326 0.674 0.762 Li
0.674 0.326 0.238 Li
0.674 0.326 0.762 Li
0.500 0.500 0.500 In
0.163 0.837 0.500 Pd
0.167 0.833 0.000 Pd
0.500 0.500 0.000 Pd
0.833 0.167 0.000 Pd
0.837 0.163 0.500 Pd
```

---

Referenced to the most stable arrangement, the calculated values in meV per atom are <one> 7; <two> 0.

---

<one>
A plane-wave DFT calculation with PBE was carried out for crystalline Li3InPd3 at its relaxed geometry.

```
Li3InPd3
1.0
4.267 -4.493 0.000
4.267 4.493 0.000
0.000 0.000 5.928
Li In Pd
6 2 6
Direct
0.244 0.756 0.000 Li
0.249 0.751 0.500 Li
0.268 0.268 0.500 Li
0.732 0.732 0.500 Li
0.751 0.249 0.500 Li
0.756 0.244 0.000 Li
0.271 0.271 0.000 In
0.729 0.729 0.000 In
0.000 0.000 0.262 Pd
0.000 0.000 0.738 Pd
0.000 0.500 0.259 Pd
0.000 0.500 0.741 Pd
0.500 0.000 0.259 Pd
0.500 0.000 0.741 Pd
```

---

<two>
A plane-wave DFT calculation with PBE was carried out for crystalline Li3InPd3 at its relaxed geometry.

```
Li3InPd3
1.0
3.326 1.920 6.090
-3.326 1.920 6.090
0.000 -3.840 6.090
Li In Pd
6 2 6
Direct
0.059 0.584 0.234 Li
0.234 0.059 0.584 Li
0.416 0.766 0.941 Li
0.584 0.234 0.059 Li
0.766 0.941 0.416 Li
0.941 0.416 0.766 Li
0.161 0.161 0.161 In
0.839 0.839 0.839 In
0.198 0.683 0.431 Pd
0.317 0.569 0.802 Pd
0.431 0.198 0.683 Pd
0.569 0.802 0.317 Pd
0.683 0.431 0.198 Pd
0.802 0.317 0.569 Pd
```

---

Referenced to the most stable arrangement, the calculated values in meV per atom are <one> 0; <two> 140.

---

<one>
A plane-wave DFT calculation with PBE was carried out for crystalline LiIn3Pd6 at its relaxed geometry.

```
LiIn3Pd6
1.0
7.591 0.000 0.000
0.000 4.694 0.000
-3.739 0.000 9.310
Li In Pd
2 6 12
Direct
0.048 0.250 0.419 Li
0.952 0.750 0.581 Li
0.217 0.250 0.013 In
0.350 0.750 0.778 In
0.452 0.250 0.614 In
0.548 0.750 0.386 In
0.650 0.250 0.222 In
0.783 0.750 0.987 In
0.058 0.750 0.866 Pd
0.138 0.250 0.706 Pd
0.161 0.750 0.182 Pd
0.250 0.750 0.484 Pd
0.336 0.250 0.319 Pd
0.465 0.750 0.077 Pd
0.535 0.250 0.923 Pd
0.664 0.750 0.681 Pd
0.750 0.250 0.516 Pd
0.839 0.250 0.818 Pd
0.862 0.750 0.294 Pd
0.942 0.250 0.134 Pd
```

---

<two>
A plane-wave DFT calculation with PBE was carried out for crystalline LiIn3Pd6 at its relaxed geometry.

```
LiIn3Pd6
1.0
3.894 -6.505 0.000
3.894 6.505 0.000
0.000 0.000 7.039
Li In Pd
2 6 12
Direct
0.216 0.784 0.500 Li
0.784 0.216 0.000 Li
0.087 0.310 0.465 In
0.310 0.087 0.965 In
0.468 0.532 0.798 In
0.532 0.468 0.298 In
0.690 0.913 0.465 In
0.913 0.690 0.965 In
0.047 0.953 0.287 Pd
0.099 0.513 0.783 Pd
0.178 0.337 0.092 Pd
0.268 0.732 0.121 Pd
0.337 0.178 0.592 Pd
0.487 0.901 0.783 Pd
0.513 0.099 0.283 Pd
0.663 0.822 0.092 Pd
0.732 0.268 0.621 Pd
0.822 0.663 0.592 Pd
0.901 0.487 0.283 Pd
0.953 0.047 0.787 Pd
```

---

Referenced to the most stable arrangement, the calculated values in meV per atom are <one> 0; <two> 129.